# BaZnC | Alexandria | PBE | relaxed
data_BaZnC
_symmetry_space_group_name_H-M 'P -1'
_symmetry_Int_Tables_number 2
_cell_length_a 4.391
_cell_length_b 4.533
_cell_length_c 9.249
_cell_angle_alpha 100.57
_cell_angle_beta 90.02
_cell_angle_gamma 118.65
loop_
_symmetry_equiv_pos_as_xyz
'x,y,z'
'-x,-y,-z'
loop_
_atom_site_label
_atom_site_fract_x
_atom_site_fract_y
_atom_site_fract_z
Ba1 0.075 0.153 0.292
Zn1 0.335 0.672 0.002
C1 0.424 0.850 0.459
# Energy of formation   -0.02 eV/atom

***

# YMg2Cd2 | Alexandria | PBE | relaxed
data_YMg2Cd2
_symmetry_space_group_name_H-M 'I 4/m m m'
_symmetry_Int_Tables_number 139
_symmetry_space_group_name_Hall '-I 4 2'
_cell_length_a 4.321
_cell_length_b 4.321
_cell_length_c 13.121
_cell_angle_alpha 90.00
_cell_angle_beta 90.00
_cell_angle_gamma 90.00
loop_
_atom_site_label
_atom_site_fract_x
_atom_site_fract_y
_atom_site_fract_z
Y1 0.000 0.000 0.000
Mg1 0.000 0.500 0.250
Cd1 0.000 0.000 0.395
# Energy of formation   -0.17 eV/atom
# Relative energy among the computed polymorphs   0.000 eV per atom

***

# DyPuSc2As4 | Alexandria | PBE | relaxed
data_DyPuSc2As4
_symmetry_space_group_name_H-M 'P 1 2/m 1'
_symmetry_Int_Tables_number 10
_cell_length_a 6.908
_cell_length_b 4.015
_cell_length_c 6.939
_cell_angle_alpha 90.00
_cell_angle_beta 109.52
_cell_angle_gamma 90.00
loop_
_symmetry_equiv_pos_as_xyz
'x,y,z'
'-x,-y,-z'
'-x,y,-z'
'x,-y,z'
loop_
_atom_site_label
_atom_site_fract_x
_atom_site_fract_y
_atom_site_fract_z
Dy1 0.000 0.000 0.000
Pu1 0.000 0.500 0.500
Sc1 0.500 0.000 0.500
Sc2 0.500 0.500 0.000
As1 0.264 0.000 0.754
As2 0.265 0.500 0.256
# Energy of formation   -1.31 eV/atom

***

# VIrSe2 | Alexandria | PBE | relaxed
data_VIrSe2
_symmetry_space_group_name_H-M 'R -3 m'
_symmetry_Int_Tables_number 166
_symmetry_space_group_name_Hall '-R 3 2"'
_cell_length_a 3.6938
_cell_length_b 3.6938
_cell_length_c 22.9204
_cell_angle_alpha 90.00
_cell_angle_beta 90.00
_cell_angle_gamma 120.00
loop_
_atom_site_label
_atom_site_fract_x
_atom_site_fract_y
_atom_site_fract_z
V1 0.0000 0.0000 0.0000
Ir1 0.0000 0.0000 0.5000
Se1 0.0000 0.0000 0.1096
# Uncorrected formation energy   0.192 eV/atom
# Relative energy among the computed polymorphs   0.342 eV per atom

***

# KNaAg2Ru | Alexandria | PBE | relaxed
data_KNaAg2Ru
_symmetry_space_group_name_H-M 'P 4/m m m'
_symmetry_Int_Tables_number 123
_symmetry_space_group_name_Hall '-P 4 2'
_cell_length_a 5.050
_cell_length_b 5.050
_cell_length_c 5.071
_cell_angle_alpha 90.00
_cell_angle_beta 90.00
_cell_angle_gamma 90.00
loop_
_atom_site_label
_atom_site_fract_x
_atom_site_fract_y
_atom_site_fract_z
K1 0.000 0.000 0.000
Na1 0.000 0.000 0.500
Ag1 0.000 0.500 0.500
Ru1 0.500 0.500 0.000
# Energy of formation   1.35 eV/atom

***

# ScIr2Rh | Alexandria | PBE | relaxed
data_ScIr2Rh
_symmetry_space_group_name_H-M 'R 3 m'
_symmetry_Int_Tables_number 160
_symmetry_space_group_name_Hall 'R 3 -2"'
_cell_length_a 2.8530
_cell_length_b 2.8530
_cell_length_c 26.5626
_cell_angle_alpha 90.00
_cell_angle_beta 90.00
_cell_angle_gamma 120.00
loop_
_atom_site_label
_atom_site_fract_x
_atom_site_fract_y
_atom_site_fract_z
Sc1 0.0000 0.0000 0.0000
Ir1 0.0000 0.0000 0.5009
Ir2 0.0000 0.0000 0.7523
Rh1 0.0000 0.0000 0.2506
# Energy of formation   -0.10 eV/atom

***

# LaTaNb2Cd | Alexandria | PBE | relaxed
data_LaTaNb2Cd
_symmetry_space_group_name_H-M 'P 4/m m m'
_symmetry_Int_Tables_number 123
_symmetry_space_group_name_Hall '-P 4 2'
_cell_length_a 4.891
_cell_length_b 4.891
_cell_length_c 5.421
_cell_angle_alpha 90.00
_cell_angle_beta 90.00
_cell_angle_gamma 90.00
loop_
_atom_site_label
_atom_site_fract_x
_atom_site_fract_y
_atom_site_fract_z
La1 0.000 0.000 0.000
Ta1 0.500 0.500 0.500
Nb1 0.000 0.500 0.000
Cd1 0.000 0.000 0.500
# Energy of formation   2.17 eV/atom

***

# LiY2TlFe | Alexandria | PBE | relaxed
data_LiY2TlFe
_symmetry_space_group_name_H-M 'P 4/m m m'
_symmetry_Int_Tables_number 123
_symmetry_space_group_name_Hall '-P 4 2'
_cell_length_a 5.745
_cell_length_b 5.745
_cell_length_c 4.697
_cell_angle_alpha 90.00
_cell_angle_beta 90.00
_cell_angle_gamma 90.00
loop_
_atom_site_label
_atom_site_fract_x
_atom_site_fract_y
_atom_site_fract_z
Li1 0.000 0.000 0.000
Y1 0.000 0.500 0.500
Tl1 0.000 0.000 0.500
Fe1 0.500 0.500 0.000
# Energy of formation   0.77 eV/atom

***

# LiCaEr2Pd4 | Alexandria | PBE | relaxed
data_LiCaEr2Pd4
_symmetry_space_group_name_H-M 'R -3 m'
_symmetry_Int_Tables_number 166
_symmetry_space_group_name_Hall '-R 3 2"'
_cell_length_a 4.8079
_cell_length_b 4.8079
_cell_length_c 23.7084
_cell_angle_alpha 90.00
_cell_angle_beta 90.00
_cell_angle_gamma 120.00
loop_
_atom_site_label
_atom_site_fract_x
_atom_site_fract_y
_atom_site_fract_z
Li1 0.0000 0.0000 0.0000
Ca1 0.0000 0.0000 0.5000
Er1 0.0000 0.0000 0.2559
Pd1 0.0000 0.0000 0.1189
Pd2 0.0000 0.0000 0.3745
# Energy of formation   -0.74 eV/atom

***

# CaMn2CrN4 | Alexandria | PBE | relaxed
data_CaMn2CrN4
_symmetry_space_group_name_H-M 'C m c m'
_symmetry_Int_Tables_number 63
_symmetry_space_group_name_Hall '-C 2c 2'
_cell_length_a 3.121
_cell_length_b 10.732
_cell_length_c 10.229
_cell_angle_alpha 90.00
_cell_angle_beta 90.00
_cell_angle_gamma 90.00
loop_
_atom_site_label
_atom_site_fract_x
_atom_site_fract_y
_atom_site_fract_z
Ca1 0.000 0.096 0.250
Mn1 0.000 0.373 0.041
Cr1 0.000 0.169 0.750
N1 0.000 0.000 0.000
N2 0.000 0.264 0.611
N3 0.000 0.426 0.250
# Uncorrected formation energy   -0.416 eV/atom

***

# Be2InOs | Alexandria | PBE | relaxed
data_Be2InOs
_symmetry_space_group_name_H-M 'R -3 m'
_symmetry_Int_Tables_number 166
_symmetry_space_group_name_Hall '-R 3 2"'
_cell_length_a 2.8877
_cell_length_b 2.8877
_cell_length_c 23.4734
_cell_angle_alpha 90.00
_cell_angle_beta 90.00
_cell_angle_gamma 120.00
loop_
_atom_site_label
_atom_site_fract_x
_atom_site_fract_y
_atom_site_fract_z
Be1 0.0000 0.0000 0.2394
In1 0.0000 0.0000 0.0000
Os1 0.0000 0.0000 0.5000
# Energy of formation   0.39 eV/atom

***

# TlGe3Cl | Alexandria | PBE | relaxed
data_TlGe3Cl
_symmetry_space_group_name_H-M 'P m -3 m'
_symmetry_Int_Tables_number 221
_symmetry_space_group_name_Hall '-P 4 2 3'
_cell_length_a 5.489
_cell_length_b 5.489
_cell_length_c 5.489
_cell_angle_alpha 90.00
_cell_angle_beta 90.00
_cell_angle_gamma 90.00
loop_
_atom_site_label
_atom_site_fract_x
_atom_site_fract_y
_atom_site_fract_z
Tl1 0.000 0.000 0.000
Ge1 0.000 0.000 0.500
Cl1 0.500 0.500 0.500
# Uncorrected formation energy   0.884 eV/atom
# Relative energy among the computed polymorphs   0.265 eV per atom

***

# Sm2IrAuC | Alexandria | PBE | relaxed
data_Sm2IrAuC
_symmetry_space_group_name_H-M 'P 4/m m m'
_symmetry_Int_Tables_number 123
_symmetry_space_group_name_Hall '-P 4 2'
_cell_length_a 5.175
_cell_length_b 5.175
_cell_length_c 3.870
_cell_angle_alpha 90.00
_cell_angle_beta 90.00
_cell_angle_gamma 90.00
loop_
_atom_site_label
_atom_site_fract_x
_atom_site_fract_y
_atom_site_fract_z
Sm1 0.000 0.500 0.000
Ir1 0.000 0.000 0.500
Au1 0.500 0.500 0.500
C1 0.000 0.000 0.000
# Energy of formation   -0.63 eV/atom

***

# Rb3Pm3ReO8 | Alexandria | PBE | relaxed
data_Rb3Pm3ReO8
_symmetry_space_group_name_H-M 'R -3 m'
_symmetry_Int_Tables_number 166
_symmetry_space_group_name_Hall '-R 3 2"'
_cell_length_a 7.0227
_cell_length_b 7.0227
_cell_length_c 19.8480
_cell_angle_alpha 90.00
_cell_angle_beta 90.00
_cell_angle_gamma 120.00
loop_
_atom_site_label
_atom_site_fract_x
_atom_site_fract_y
_atom_site_fract_z
Rb1 0.0000 0.5000 0.0000
Pm1 0.0000 0.5000 0.5000
Re1 0.0000 0.0000 0.5000
O1 0.0000 0.0000 0.2260
O2 0.0340 0.5170 0.2217
# Uncorrected formation energy   -2.305 eV/atom

***

# TiCoSi | Alexandria | PBE | relaxed
data_TiCoSi
_symmetry_space_group_name_H-M 'P n m a'
_symmetry_Int_Tables_number 62
_cell_length_a 6.117
_cell_length_b 3.709
_cell_length_c 6.889
_cell_angle_alpha 90.00
_cell_angle_beta 90.00
_cell_angle_gamma 90.00
loop_
_symmetry_equiv_pos_as_xyz
'x,y,z'
'-x,-y,-z'
'-x+1/2,-y,z+1/2'
'x+1/2,y,-z+1/2'
'x+1/2,-y+1/2,-z+1/2'
'-x+1/2,y+1/2,z+1/2'
'-x,y+1/2,-z'
'x,-y+1/2,z'
loop_
_atom_site_label
_atom_site_fract_x
_atom_site_fract_y
_atom_site_fract_z
Ti1 0.015 0.250 0.191
Co1 0.146 0.250 0.566
Si1 0.227 0.750 0.386
# Uncorrected formation energy   -0.814 eV/atom

***

# PuVGe | Alexandria | PBE | relaxed
data_PuVGe
_symmetry_space_group_name_H-M 'P 1 21/m 1'
_symmetry_Int_Tables_number 11
_cell_length_a 4.028
_cell_length_b 3.424
_cell_length_c 7.437
_cell_angle_alpha 90.00
_cell_angle_beta 99.04
_cell_angle_gamma 90.00
loop_
_symmetry_equiv_pos_as_xyz
'x,y,z'
'-x,-y,-z'
'-x,y+1/2,-z'
'x,-y+1/2,z'
loop_
_atom_site_label
_atom_site_fract_x
_atom_site_fract_y
_atom_site_fract_z
Pu1 0.124 0.250 0.096
V1 0.240 0.750 0.484
Ge1 0.331 0.250 0.739
# Energy of formation   -0.24 eV/atom

***

# YScIn2Hg | Alexandria | PBE | relaxed
data_YScIn2Hg
_symmetry_space_group_name_H-M 'P 4/m m m'
_symmetry_Int_Tables_number 123
_symmetry_space_group_name_Hall '-P 4 2'
_cell_length_a 5.664
_cell_length_b 5.664
_cell_length_c 5.531
_cell_angle_alpha 90.00
_cell_angle_beta 90.00
_cell_angle_gamma 90.00
loop_
_atom_site_label
_atom_site_fract_x
_atom_site_fract_y
_atom_site_fract_z
Y1 0.000 0.000 0.000
Sc1 0.500 0.500 0.500
In1 0.000 0.500 0.000
Hg1 0.000 0.000 0.500
# Energy of formation   0.63 eV/atom

***

# Tc3Ir4Rh12 | Alexandria | PBE | relaxed
data_Tc3Ir4Rh12
_symmetry_space_group_name_H-M 'I m -3'
_symmetry_Int_Tables_number 204
_symmetry_space_group_name_Hall '-I 2 2 3'
_cell_length_a 9.245
_cell_length_b 9.245
_cell_length_c 9.245
_cell_angle_alpha 90.00
_cell_angle_beta 90.00
_cell_angle_gamma 90.00
loop_
_atom_site_label
_atom_site_fract_x
_atom_site_fract_y
_atom_site_fract_z
Tc1 0.000 0.000 0.500
Ir1 0.250 0.250 0.250
Rh1 0.000 0.264 0.360
# Energy of formation   0.76 eV/atom

***

# CsNa2Tl2 | Alexandria | PBE | relaxed
data_CsNa2Tl2
_symmetry_space_group_name_H-M 'C 1 2/m 1'
_symmetry_Int_Tables_number 12
_cell_length_a 14.617
_cell_length_b 4.993
_cell_length_c 6.497
_cell_angle_alpha 90.00
_cell_angle_beta 106.38
_cell_angle_gamma 90.00
loop_
_symmetry_equiv_pos_as_xyz
'x,y,z'
'-x,-y,-z'
'-x,y,-z'
'x,-y,z'
'x+1/2,y+1/2,z'
'-x+1/2,-y+1/2,-z'
'-x+1/2,y+1/2,-z'
'x+1/2,-y+1/2,z'
loop_
_atom_site_label
_atom_site_fract_x
_atom_site_fract_y
_atom_site_fract_z
Cs1 0.000 0.000 0.000
Na1 0.170 0.500 0.575
Tl1 0.229 0.500 0.122
# Energy of formation   -0.04 eV/atom
# Relative energy among the computed polymorphs   0.010 eV per atom

***

# La2TcPtC | Alexandria | PBE | relaxed
data_La2TcPtC
_symmetry_space_group_name_H-M 'P 4/m m m'
_symmetry_Int_Tables_number 123
_symmetry_space_group_name_Hall '-P 4 2'
_cell_length_a 5.245
_cell_length_b 5.245
_cell_length_c 3.956
_cell_angle_alpha 90.00
_cell_angle_beta 90.00
_cell_angle_gamma 90.00
loop_
_atom_site_label
_atom_site_fract_x
_atom_site_fract_y
_atom_site_fract_z
La1 0.000 0.500 0.000
Tc1 0.000 0.000 0.500
Pt1 0.500 0.500 0.500
C1 0.000 0.000 0.000
# Energy of formation   -0.35 eV/atom

***

Calculated volume values, unit A^3/atom, following the record order: 26.331 24.496 22.672 22.569 25.867 15.604 25.939 31.003 19.776 10.708 14.126 33.067 20.729 18.838 13.023 16.883 35.484 20.795 45.494 21.761.